No. 1
This record from the Open Quantum Materials Database describes a relaxed structure of Li8Al2Cd. The functional is PBE.

Geometry as POSCAR:
```
Li8Al2Cd
1.0
3.910 -2.253 0.000
3.910 2.253 0.000
-2.634 0.000 10.111
Li Al Cd
8 2 1
direct
0.091 0.091 0.274
0.177 0.177 0.530
0.266 0.266 0.799
0.364 0.364 0.094
0.636 0.636 0.906
0.734 0.734 0.201
0.823 0.823 0.470
0.909 0.909 0.726
0.456 0.456 0.369
0.544 0.544 0.631
0.000 0.000 0.000
```

Summary:
ρ: 2.07 g cm⁻³
Total energy: -2.292 eV/atom


No. 2
This record from the Open Quantum Materials Database describes a relaxed structure of Y3MgCd2AgAu2. The functional is PBE.

Geometry as POSCAR:
```
Y3MgCd2AgAu2
1.0
3.932 0.000 0.000
0.000 6.791 3.881
0.000 -6.791 3.881
Y Mg Cd Ag Au
3 1 2 1 2
direct
0.000 0.000 0.000
0.000 0.395 0.812
0.000 0.812 0.395
0.500 0.656 0.656
0.500 0.145 0.405
0.500 0.405 0.145
0.000 0.411 0.411
0.500 0.057 0.733
0.500 0.733 0.057
```

Summary:
ρ: 8.15 g cm⁻³
Total energy: -4.159 eV/atom


No. 3
This record from the Open Quantum Materials Database describes a relaxed structure of Ba3ThSe7. The functional is PBE.

Geometry as POSCAR:
```
Ba3ThSe7
1.0
-2.940 6.315 4.816
2.940 -6.315 4.816
2.940 6.315 -4.816
Ba Th Se
3 1 7
direct
0.000 0.000 0.000
0.447 0.708 0.739
0.968 0.708 0.261
0.592 0.092 0.500
0.302 0.007 0.705
0.302 0.598 0.295
0.319 0.051 0.268
0.650 0.650 0.000
0.783 0.051 0.732
0.791 0.386 0.405
0.981 0.386 0.595
```

Summary:
ρ: 5.56 g cm⁻³
Total energy: -5.058 eV/atom


No. 4
This record from the Open Quantum Materials Database describes a relaxed structure of GdHo2Mg3Tl2Zn. The functional is PBE.

Geometry as POSCAR:
```
GdHo2Mg3Tl2Zn
1.0
4.559 0.000 0.000
0.000 6.520 3.731
0.000 -6.520 3.731
Gd Ho Mg Tl Zn
1 2 3 2 1
direct
0.000 0.000 0.000
0.000 0.171 0.586
0.000 0.586 0.171
0.500 0.349 0.349
0.500 0.585 0.820
0.500 0.820 0.585
0.500 0.253 0.918
0.500 0.918 0.253
0.000 0.582 0.582
```

Summary:
ρ: 7.74 g cm⁻³
Total energy: -3.035 eV/atom


No. 5
This record from the Open Quantum Materials Database describes a relaxed structure of LaReNO. The functional is PBE.

Geometry as POSCAR:
```
LaReNO
1.0
4.910 0.000 0.000
0.000 8.974 0.000
0.000 0.000 5.084
La Re N O
4 4 4 4
direct
0.007 0.168 0.000
0.493 0.168 0.500
0.507 0.832 0.000
0.993 0.832 0.500
0.084 0.552 0.996
0.416 0.552 0.496
0.584 0.448 0.996
0.916 0.448 0.496
0.250 0.391 0.246
0.250 0.391 0.746
0.750 0.609 0.246
0.750 0.609 0.746
0.010 0.901 0.002
0.490 0.901 0.502
0.510 0.099 0.002
0.990 0.099 0.502
```

Summary:
Energy above the most stable polymorph in this dataset: 0 meV/atom
ρ: 10.53 g cm⁻³
Total energy: -9.048 eV/atom


No. 6
This record from the Open Quantum Materials Database describes a relaxed structure of HfMgBIr. The functional is PBE.

Geometry as POSCAR:
```
HfMgBIr
1.0
6.089 0.000 0.000
0.000 6.089 0.000
0.000 0.000 6.089
Hf Mg B Ir
4 4 4 4
direct
0.000 0.000 0.000
0.000 0.500 0.500
0.500 0.000 0.500
0.500 0.500 0.000
0.250 0.250 0.750
0.250 0.750 0.250
0.750 0.250 0.250
0.750 0.750 0.750
0.250 0.250 0.250
0.250 0.750 0.750
0.750 0.250 0.750
0.750 0.750 0.250
0.000 0.000 0.500
0.000 0.500 0.000
0.500 0.000 0.000
0.500 0.500 0.500
```

Summary:
Energy above the most stable polymorph in this dataset: 224 meV/atom
ρ: 11.94 g cm⁻³
Total energy: -6.608 eV/atom


No. 7
This record from the Open Quantum Materials Database describes a relaxed structure of Zr2BiAsIr2. The functional is PBE.

Geometry as POSCAR:
```
Zr2BiAsIr2
1.0
10.959 0.000 0.000
0.000 4.472 0.000
-3.665 0.000 10.353
Zr Bi As Ir
8 4 4 8
direct
0.000 0.000 0.000
0.116 0.500 0.374
0.239 0.000 0.742
0.375 0.500 0.136
0.499 0.000 0.499
0.625 0.500 0.866
0.746 0.000 0.258
0.867 0.500 0.620
0.120 0.500 0.875
0.369 0.500 0.620
0.498 0.000 0.000
0.870 0.500 0.124
0.246 0.000 0.253
0.622 0.500 0.377
0.748 0.000 0.746
0.993 0.000 0.499
0.130 0.500 0.134
0.235 0.000 0.490
0.370 0.500 0.872
0.499 0.000 0.260
0.626 0.500 0.620
0.749 0.000 0.987
0.866 0.500 0.379
0.987 0.000 0.741
```

Summary:
ρ: 11.14 g cm⁻³
Total energy: -8.002 eV/atom


No. 8
This record from the Open Quantum Materials Database describes a relaxed structure of Dy2HfO3. The functional is PBE.

Geometry as POSCAR:
```
Dy2HfO3
1.0
3.331 0.000 0.000
-1.665 2.885 0.000
0.000 0.000 8.089
Dy Hf O
2 1 3
direct
0.333 0.667 0.325
0.667 0.333 0.675
0.000 0.000 0.000
0.000 0.000 0.500
0.333 0.667 0.857
0.667 0.333 0.143
```

Summary:
ρ: 11.78 g cm⁻³
Total energy: -8.210 eV/atom


No. 9
This record from the Open Quantum Materials Database describes a relaxed structure of AcTaO3. The functional is PBE.

Geometry as POSCAR:
```
AcTaO3
1.0
3.187 1.840 4.933
-3.187 1.840 4.933
0.000 -3.680 4.933
Ac Ta O
2 2 6
direct
0.000 0.000 0.000
0.500 0.500 0.500
0.250 0.250 0.250
0.750 0.750 0.750
0.044 0.750 0.456
0.250 0.544 0.956
0.456 0.044 0.750
0.544 0.956 0.250
0.750 0.456 0.044
0.956 0.250 0.544
```

Summary:
ρ: 8.72 g cm⁻³
Total energy: -8.795 eV/atom


No. 10
This record from the Open Quantum Materials Database describes a relaxed structure of NdAlGaAu2. The functional is PBE.

Geometry as POSCAR:
```
NdAlGaAu2
1.0
4.447 0.000 0.000
0.000 4.447 0.000
0.000 0.000 10.463
Nd Al Ga Au
2 2 2 4
direct
0.250 0.250 0.248
0.750 0.750 0.752
0.250 0.250 0.627
0.750 0.750 0.373
0.250 0.750 0.000
0.750 0.250 0.000
0.250 0.250 0.865
0.250 0.750 0.500
0.750 0.250 0.500
0.750 0.750 0.135
```

Summary:
Energy above the most stable polymorph in this dataset: 5 meV/atom
ρ: 10.19 g cm⁻³
Total energy: -4.318 eV/atom


No. 11
This record from the Open Quantum Materials Database describes a relaxed structure of DyTm2Si4Ag4. The functional is PBE.

Geometry as POSCAR:
```
DyTm2Si4Ag4
1.0
-2.110 3.490 7.042
2.110 -3.490 7.042
2.110 3.490 -7.042
Dy Tm Si Ag
1 2 4 4
direct
0.000 0.000 0.000
0.376 0.876 0.500
0.624 0.124 0.500
0.217 0.217 0.000
0.325 0.500 0.825
0.675 0.500 0.175
0.783 0.783 0.000
0.030 0.331 0.699
0.368 0.669 0.699
0.632 0.331 0.301
0.970 0.669 0.301
```

Summary:
ρ: 8.36 g cm⁻³
Total energy: -4.718 eV/atom


No. 12
This record from the Open Quantum Materials Database describes a relaxed structure of Pr2FeSi2Os. The functional is PBE.

Geometry as POSCAR:
```
Pr2FeSi2Os
1.0
4.135 0.000 0.000
0.000 4.135 0.000
0.000 0.000 7.100
Pr Fe Si Os
2 1 2 1
direct
0.000 0.500 0.179
0.500 0.000 0.821
0.000 0.000 0.500
0.000 0.500 0.669
0.500 0.000 0.331
0.500 0.500 0.500
```

Summary:
ρ: 7.99 g cm⁻³
Total energy: -7.235 eV/atom


Please write out number 11 again, unchanged.
This record from the Open Quantum Materials Database describes a relaxed structure of DyTm2Si4Ag4. The functional is PBE.

Geometry as POSCAR:
```
DyTm2Si4Ag4
1.0
-2.110 3.490 7.042
2.110 -3.490 7.042
2.110 3.490 -7.042
Dy Tm Si Ag
1 2 4 4
direct
0.000 0.000 0.000
0.376 0.876 0.500
0.624 0.124 0.500
0.217 0.217 0.000
0.325 0.500 0.825
0.675 0.500 0.175
0.783 0.783 0.000
0.030 0.331 0.699
0.368 0.669 0.699
0.632 0.331 0.301
0.970 0.669 0.301
```

Summary:
ρ: 8.36 g cm⁻³
Total energy: -4.718 eV/atom


- Among the records above, which one has the lowest total energy?
  LaReNO


- ρ of number 6 (HfMgBIr)?
  11.94 g cm⁻³